1.
Entry from Alexandria via LeMat-Bulk: a geometry-optimized RbInIO6 structure (GGA-PBE).

Output
space-group type	P312, No. 149
ΔE_f (raw)	-722	kJ/mol of formula units
calculated volume	166.1	Å³/cell
mass density	4.23	g/cm3

Unit cell a=5.5207 b=5.5207 c=6.2947 alpha=90.00 beta=90.00 gamma=60.00
Last column: nearest neighbours and their distance in Å.
Element x y z (fractional)
O (0.0385, 0.5989, 0.6761)  1 I 1.91
O (0.3626, 0.5988, 0.3239)  1 I 1.91
O (0.0385, 0.3627, 0.3239)  1 I 1.91
O (0.3626, 0.0385, 0.6761)  1 I 1.91
O (0.5988, 0.3627, 0.6761)  1 I 1.91
O (0.5988, 0.0385, 0.3239)  1 I 1.91
Rb (0.0000, 0.0000, 0.0000)  6 O 2.94
In (0.6666, 0.6667, 0.5000)  6 O 2.19
I (0.3333, 0.3333, 0.5000)  6 O 1.91

***

2.
Entry from Alexandria via LeMat-Bulk: a geometry-optimized K2TbTlCl6 structure (GGA-PBE).

Output
space-group type	P2_1/c, No. 14
ΔE_f (raw)	-1873	kJ/mol of formula units
calculated volume	663.0	Å³/cell
mass density	3.28	g/cm3

Unit cell a=7.5437 b=8.0564 c=10.9102 alpha=90.00 beta=89.12 gamma=90.00
Last column: nearest neighbours and their distance in Å.
Element x y z (fractional)
Tb (0.5000, 0.0000, 0.5000)  6 Cl 2.66-2.68
Tb (0.0000, 0.5000, 0.0000)  6 Cl 2.66-2.68
Tl (0.0000, 0.5000, 0.5000)  6 Cl 3.15-3.24
Tl (0.5000, 0.0000, 0.0000)  6 Cl 3.15-3.24
Cl (0.1341, 0.4408, 0.7761)  1 Tb 2.67
Cl (0.2853, 0.6738, 0.0604)  1 Tb 2.66
Cl (0.8659, 0.5592, 0.2239)  1 Tb 2.67
Cl (0.7853, 0.8262, 0.5604)  1 Tb 2.66
Cl (0.6341, 0.0592, 0.2761)  1 Tb 2.67
Cl (0.2147, 0.1738, 0.4396)  1 Tb 2.66
Cl (0.7147, 0.3262, 0.9396)  1 Tb 2.66
Cl (0.8393, 0.7757, 0.9212)  1 Tb 2.68
Cl (0.3659, 0.9408, 0.7239)  1 Tb 2.67
Cl (0.6607, 0.2757, 0.5788)  1 Tb 2.68
Cl (0.3393, 0.7243, 0.4212)  1 Tb 2.68
Cl (0.1607, 0.2243, 0.0788)  1 Tb 2.68
K (0.0293, 0.9234, 0.2549)  6 Cl 3.18-3.49
K (0.9707, 0.0766, 0.7451)  6 Cl 3.18-3.49
K (0.5293, 0.5766, 0.7549)  6 Cl 3.18-3.49
K (0.4707, 0.4234, 0.2451)  6 Cl 3.18-3.49

***

3.
Entry from Alexandria via LeMat-Bulk: a geometry-optimized Ho4AlCu structure (GGA-PBE).

Output
space-group type	C2/c, No. 15
E_form	-0.14	eV/atom
calculated volume	306.3	Å³/cell
mass density	8.13	g/cm3

Unit cell a=5.5895 b=8.5019 c=8.0250 alpha=115.20 beta=100.97 gamma=107.35
Last column: nearest neighbours and their distance in Å.
Element x y z (fractional)
Cu (0.7501, 0.0001, 0.0002)  2 Cu 2.79, 8 Ho 2.94-3.00
Cu (0.2499, 0.9999, 0.9998)  2 Cu 2.79, 8 Ho 2.94-3.00
Ho (0.0627, 0.2187, 0.8477)  2 Cu 2.94-2.97, 2 Al 3.15-3.23
Ho (0.3651, 0.9330, 0.6346)  2 Cu 2.97-3.00, 2 Al 3.15-3.23, 2 Ho 3.25-3.32
Ho (0.2305, 0.2984, 0.3654)  2 Cu 2.97-3.00, 2 Al 3.15-3.23, 2 Ho 3.25-3.32
Ho (0.9373, 0.7813, 0.1523)  2 Cu 2.94-2.97, 2 Al 3.15-3.23
Ho (0.2849, 0.6289, 0.8477)  2 Cu 2.94-2.97, 2 Al 3.15-3.23
Ho (0.7695, 0.7016, 0.6346)  2 Cu 2.97-3.00, 2 Al 3.15-3.23, 2 Ho 3.25-3.32
Ho (0.7151, 0.3711, 0.1523)  2 Cu 2.94-2.97, 2 Al 3.15-3.23
Ho (0.6349, 0.0670, 0.3654)  2 Cu 2.97-3.00, 2 Al 3.15-3.23, 2 Ho 3.25-3.32
Al (0.6284, 0.3784, 0.7569)  10 Ho 3.15-3.40
Al (0.3716, 0.6216, 0.2431)  10 Ho 3.15-3.40

***

4.
Entry from Alexandria via LeMat-Bulk: a geometry-optimized AcMg4Cu2 structure (GGA-PBE).

Output
space-group type	P4_2/mnm, No. 136
E_form	-0.13	eV/atom
calculated volume	310.6	Å³/cell
mass density	4.82	g/cm3
distance to the lowest polymorph of the same formula	0.0	meV/atom

Unit cell a=4.3928 b=8.4094 c=8.4094 alpha=90.00 beta=90.00 gamma=90.00
Last column: nearest neighbours and their distance in Å.
Element x y z (fractional)
Mg (0.0000, 0.0859, 0.3364)  3 Cu 2.74-2.78, 1 Mg 2.98
Mg (0.0000, 0.6636, 0.9141)  3 Cu 2.74-2.78, 1 Mg 2.98
Mg (0.0000, 0.9141, 0.6636)  3 Cu 2.74-2.78, 1 Mg 2.98
Mg (0.5000, 0.4141, 0.8364)  3 Cu 2.74-2.78, 1 Mg 2.98
Mg (0.5000, 0.1636, 0.5859)  3 Cu 2.74-2.78, 1 Mg 2.98
Mg (0.5000, 0.5859, 0.1636)  3 Cu 2.74-2.78, 1 Mg 2.98
Mg (0.0000, 0.3364, 0.0859)  3 Cu 2.74-2.78, 1 Mg 2.98
Mg (0.5000, 0.8364, 0.4141)  3 Cu 2.74-2.78, 1 Mg 2.98
Cu (0.0000, 0.2185, 0.7815)  6 Mg 2.74-2.78
Cu (0.5000, 0.2815, 0.2815)  6 Mg 2.74-2.78
Cu (0.5000, 0.7185, 0.7185)  6 Mg 2.74-2.78
Cu (0.0000, 0.7815, 0.2185)  6 Mg 2.74-2.78
Ac (0.5000, 0.0000, 0.0000)  6 Cu 3.35-3.40, 12 Mg 3.65-3.74
Ac (0.0000, 0.5000, 0.5000)  6 Cu 3.35-3.40, 12 Mg 3.65-3.74